# Tb2YPuAs4 | the Alexandria database | PBE | optimized geometry
data_Tb2YPuAs4
_cell_length_a 4.141
_cell_length_b 7.150
_cell_length_c 7.153
_cell_angle_alpha 109.46
_cell_angle_beta 90.00
_cell_angle_gamma 90.00
_symmetry_space_group_name_H-M 'P 1'
_symmetry_Int_Tables_number 1
_symmetry_space_group_name_Hall 'P 1'
loop_
_atom_site_label
_atom_site_type_symbol
_atom_site_fract_x
_atom_site_fract_y
_atom_site_fract_z
_atom_site_occupancy
As1 As 0.500 0.752 0.752 1
As2 As 0.500 0.248 0.248 1
As3 As 0.000 0.751 0.249 1
Tb1 Tb 0.500 0.000 0.500 1
Pu1 Pu 0.000 0.000 0.000 1
Y1 Y 0.500 0.500 0.000 1
Tb2 Tb 0.000 0.500 0.500 1
As4 As 0.000 0.249 0.751 1
# DOS at the Fermi energy (states/eV/cell): 13.2
# Energy of formation (eV per atom): -1.406
# Total moment (μB/cell): 4.93
# SG: P2/m (10)
# Crystal system: monoclinic